# 1
# K2LiOs

A relaxed structure of K2LiOs (PBE-GGA, Alexandria via LeMat-Bulk).

Structure (POSCAR):
```
K2LiOs
1.0
2.7683 0.0000 0.0000
0.0000 5.5617 0.0000
0.0000 0.0000 6.2129
K Li Os
2 1 1
Direct
0.0000 0.0000 0.2356 K
0.0000 0.0000 0.7644 K
0.5000 0.5000 0.5000 Li
0.5000 0.5000 0.0000 Os
```

Values from the calculation:
* DFT formation energy: 1.09 eV/atom
* E above lowest polymorph: 237 meV/atom
* SG: Pmmm

=====

# 2
# KLiOs2

A relaxed structure of KLiOs2 (PBE-GGA, Alexandria via LeMat-Bulk).

Structure (POSCAR):
```
KLiOs2
1.0
-1.3459 2.2439 5.5340
1.3459 -2.2439 5.5340
1.3459 2.2439 -5.5340
K Li Os
1 1 2
Direct
0.0000 0.0000 0.0000 K
0.5000 0.5000 0.0000 Li
0.2787 0.7787 0.5000 Os
0.7213 0.2213 0.5000 Os
```

Values from the calculation:
* DFT formation energy: 0.71 eV/atom
* E above lowest polymorph: 192 meV/atom
* SG: Immm

=====

# 3
# KLiOs2

A relaxed structure of KLiOs2 (PBE-GGA, Alexandria via LeMat-Bulk).

Structure (POSCAR):
```
KLiOs2
1.0
0.0000 3.2664 3.2664
3.2664 0.0000 3.2664
3.2664 3.2664 0.0000
K Li Os
1 1 2
Direct
0.0000 0.0000 0.0000 K
0.5000 0.5000 0.5000 Li
0.2500 0.2500 0.2500 Os
0.7500 0.7500 0.7500 Os
```

Values from the calculation:
* DFT formation energy: 2.12 eV/atom
* E above lowest polymorph: 1604 meV/atom
* SG: Fm-3m

=====

# 4
# K2LiOs

A relaxed structure of K2LiOs (PBE-GGA, Alexandria via LeMat-Bulk).

Structure (POSCAR):
```
K2LiOs
1.0
3.0700 -5.5480 0.0000
3.0700 5.5480 0.0000
0.0000 0.0000 2.7754
K Li Os
2 1 1
Direct
0.0000 0.5000 0.0000 K
0.5000 0.0000 0.0000 K
0.0000 0.0000 0.5000 Li
0.5000 0.5000 0.5000 Os
```

Values from the calculation:
* DFT formation energy: 1.10 eV/atom
* E above lowest polymorph: 246 meV/atom
* SG: Cmmm

=====

# 5
# K2LiOs

A relaxed structure of K2LiOs (PBE-GGA, Alexandria via LeMat-Bulk).

Structure (POSCAR):
```
K2LiOs
1.0
3.0752 -5.5580 0.0000
3.0752 5.5580 0.0000
-0.2886 0.0000 2.7598
K Li Os
2 1 1
Direct
0.0000 0.5000 0.0000 K
0.5000 0.0000 0.0000 K
0.0000 0.0000 0.5000 Li
0.5000 0.5000 0.5000 Os
```

Values from the calculation:
* DFT formation energy: 1.10 eV/atom
* E above lowest polymorph: 246 meV/atom
* SG: C2/m

=====

# 6
# K2LiOs

A relaxed structure of K2LiOs (PBE-GGA, Alexandria via LeMat-Bulk).

Structure (POSCAR):
```
K2LiOs
1.0
2.9070 0.0000 0.0000
0.0000 2.9070 0.0000
0.0000 0.0000 12.0427
K Li Os
2 1 1
Direct
0.0000 0.0000 0.2172 K
0.0000 0.0000 0.7828 K
0.5000 0.5000 0.5000 Li
0.5000 0.5000 0.0000 Os
```

Values from the calculation:
* DFT formation energy: 1.06 eV/atom
* E above lowest polymorph: 205 meV/atom
* SG: P4/mmm

=====

> Number 1 is which compound?

K2LiOs